Entry 1:
This record from Alexandria describes a geometry-optimized K3La3YTe8 structure. The functional is GGA-PBE. Values from VASP.

The structure in Quantum ESPRESSO input format:
```
&SYSTEM
  ibrav = 0, nat = 15, ntyp = 4
/
ATOMIC_SPECIES
K 39.10 K.upf
La 138.91 La.upf
Y 88.91 Y.upf
Te 127.60 Te.upf
ATOMIC_POSITIONS crystal
K 0.0000 0.0000 0.0000
K 0.0000 0.5000 0.0000
K 0.5000 0.5000 0.0000
La 0.5000 0.0000 0.5000
La 0.5000 0.5000 0.5000
La 0.0000 0.5000 0.5000
Y 0.0000 0.0000 0.5000
Te 0.2606 0.5212 0.2819
Te 0.7394 0.4788 0.7181
Te 0.7690 0.5379 0.2909
Te 0.2310 0.4621 0.7091
Te 0.7690 0.0217 0.2908
Te 0.2310 0.9783 0.7092
Te 0.2527 0.0217 0.2908
Te 0.7473 0.9783 0.7092
CELL_PARAMETERS angstrom
-4.9762 -7.5292 -1.9757
8.5833 -0.8784 3.3298
-7.1063 3.0566 6.2502
```

Summary:
- N(E_F): 11.67 states/eV/f.u.
- Magnetization: 0.00 μB/atom
- E_tot: -0.345 Ry per atom
- Formation energy from raw total energies: -1.382 eV/atom



Entry 2:
This record from Alexandria describes a geometry-optimized K2LaZn2Te4 structure. The functional is GGA-PBE. Values from VASP.

The structure in Quantum ESPRESSO input format:
```
&SYSTEM
  ibrav = 0, nat = 9, ntyp = 4
/
ATOMIC_SPECIES
K 39.10 K.upf
La 138.91 La.upf
Zn 65.41 Zn.upf
Te 127.60 Te.upf
ATOMIC_POSITIONS crystal
K 0.1320 0.5671 0.2639
K 0.8680 0.4329 0.7361
La 0.0000 0.0000 0.0000
Zn 0.6751 0.0061 0.3503
Zn 0.3249 0.9939 0.6497
Te 0.2080 0.1756 0.4160
Te 0.7920 0.8244 0.5840
Te 0.5170 0.7526 0.0341
Te 0.4830 0.2474 0.9659
CELL_PARAMETERS angstrom
4.8235 0.0000 0.0000
0.0000 8.3854 0.3048
-2.4117 -3.0411 7.6826
```

Summary:
- N(E_F): 1.84 states/eV/f.u.
- Magnetization: 0.00 μB/atom
- E_tot: -0.248 Ry per atom
- Formation energy from raw total energies: -0.906 eV/atom



Entry 3:
This record from Alexandria describes a geometry-optimized K3La2ZrTe6 structure. The functional is GGA-PBE. Values from VASP.

The structure in Quantum ESPRESSO input format:
```
&SYSTEM
  ibrav = 0, nat = 12, ntyp = 4
/
ATOMIC_SPECIES
K 39.10 K.upf
La 138.91 La.upf
Zr 91.22 Zr.upf
Te 127.60 Te.upf
ATOMIC_POSITIONS crystal
K 0.1726 0.8274 0.5000
K 0.8274 0.1726 0.5000
K 0.5000 0.5000 0.5000
La 0.3341 0.6659 0.0000
La 0.6659 0.3341 0.0000
Zr 0.0000 0.0000 0.0000
Te 0.9296 0.6180 0.7886
Te 0.7607 0.7607 0.2127
Te 0.0704 0.3820 0.2114
Te 0.6180 0.9296 0.7886
Te 0.2393 0.2393 0.7873
Te 0.3820 0.0704 0.2114
CELL_PARAMETERS angstrom
7.8833 -0.0032 -0.0046
-3.9425 6.8266 -0.0046
-1.3191 -2.2841 8.2727
```

Summary:
- N(E_F): 5.93 states/eV/f.u.
- Magnetization: 0.08 μB/atom
- E_tot: -0.343 Ry per atom
- Formation energy from raw total energies: -1.286 eV/atom



Entry 4:
This record from Alexandria describes a geometry-optimized K4La3ZrTe8 structure. The functional is GGA-PBE. Values from VASP.

The structure in Quantum ESPRESSO input format:
```
&SYSTEM
  ibrav = 0, nat = 16, ntyp = 4
/
ATOMIC_SPECIES
K 39.10 K.upf
La 138.91 La.upf
Zr 91.22 Zr.upf
Te 127.60 Te.upf
ATOMIC_POSITIONS crystal
K 0.5000 0.0000 0.0000
K 0.5000 0.0000 0.5000
K 0.0000 0.0000 0.0000
K 0.0000 0.0000 0.5000
La 0.5000 0.5000 0.0000
La 0.5000 0.5000 0.5000
La 0.0000 0.5000 0.5000
Zr 0.0000 0.5000 0.0000
Te 0.2261 0.7096 0.9837
Te 0.2262 0.7097 0.4524
Te 0.2596 0.2789 0.5191
Te 0.7576 0.7096 0.9837
Te 0.2424 0.2904 0.0163
Te 0.7404 0.7211 0.4809
Te 0.7738 0.2903 0.5476
Te 0.7739 0.2904 0.0163
CELL_PARAMETERS angstrom
-0.9680 8.1504 4.1244
-9.7579 -1.0607 -0.1942
4.9656 -6.6120 4.0027
```

Summary:
- N(E_F): 5.46 states/eV/f.u.
- Magnetization: 0.06 μB/atom
- E_tot: -0.341 Ry per atom
- Formation energy from raw total energies: -1.334 eV/atom



Entry 5:
This record from Alexandria describes a geometry-optimized KLa2Th structure. The functional is GGA-PBE. Values from VASP.

The structure in Quantum ESPRESSO input format:
```
&SYSTEM
  ibrav = 0, nat = 4, ntyp = 3
/
ATOMIC_SPECIES
K 39.10 K.upf
Th 232.04 Th.upf
La 138.91 La.upf
ATOMIC_POSITIONS crystal
K 0.0000 0.0000 0.0000
Th 0.5000 0.5000 0.5000
La 0.0965 0.0965 0.7105
La 0.9035 0.9035 0.2895
CELL_PARAMETERS angstrom
-0.3290 3.6735 0.2291
-3.3444 1.5668 -0.1236
-2.1551 0.8231 13.5105
```

Summary:
- N(E_F): 4.93 states/eV/f.u.
- Formation energy from the elements: 0.157 eV per atom
- Magnetization: 0.00 μB/atom
- E_tot: -0.326 Ry per atom



Entry 6:
This record from Alexandria describes a geometry-optimized KLa2Ti structure. The functional is GGA-PBE. Values from VASP.

The structure in Quantum ESPRESSO input format:
```
&SYSTEM
  ibrav = 0, nat = 4, ntyp = 3
/
ATOMIC_SPECIES
K 39.10 K.upf
Ti 47.87 Ti.upf
La 138.91 La.upf
ATOMIC_POSITIONS crystal
K 0.0000 0.0000 0.0000
Ti 0.5000 0.5000 0.5000
La 0.2500 0.2500 0.2500
La 0.7500 0.7500 0.7500
CELL_PARAMETERS angstrom
0.0000 4.0665 4.0665
4.0665 0.0000 4.0665
4.0665 4.0665 0.0000
```

Summary:
- N(E_F): 5.96 states/eV/f.u.
- Formation energy from the elements: 0.675 eV per atom
- Magnetization: 0.78 μB/atom
- E_tot: -0.297 Ry per atom
- Polymorph energy (0 for the lowest one): 0.0 meV/atom



Entry 7:
This record from Alexandria describes a geometry-optimized KLa2Ti structure. The functional is GGA-PBE. Values from VASP.

The structure in Quantum ESPRESSO input format:
```
&SYSTEM
  ibrav = 0, nat = 8, ntyp = 3
/
ATOMIC_SPECIES
K 39.10 K.upf
Ti 47.87 Ti.upf
La 138.91 La.upf
ATOMIC_POSITIONS crystal
K 0.5000 0.5000 0.0000
K 0.2500 0.7500 0.5000
Ti 0.0000 0.0000 0.0000
Ti 0.7500 0.2500 0.5000
La 0.7508 0.1250 0.2500
La 0.9992 0.6250 0.2500
La 0.3750 0.2492 0.7500
La 0.8750 0.0008 0.7500
CELL_PARAMETERS angstrom
-4.3877 -4.8918 -5.4421
4.0470 -6.9089 2.9474
-3.1686 -6.4244 1.6410
```

Summary:
- N(E_F): 3.56 states/eV/f.u.
- Formation energy from the elements: 0.835 eV per atom
- Magnetization: 0.00 μB/atom
- E_tot: -0.285 Ry per atom
- Polymorph energy (0 for the lowest one): 159.3 meV/atom



Entry 8:
This record from Alexandria describes a geometry-optimized K2LaTi structure. The functional is GGA-PBE. Values from VASP.

The structure in Quantum ESPRESSO input format:
```
&SYSTEM
  ibrav = 0, nat = 4, ntyp = 3
/
ATOMIC_SPECIES
K 39.10 K.upf
Ti 47.87 Ti.upf
La 138.91 La.upf
ATOMIC_POSITIONS crystal
K 0.2500 0.2500 0.2500
K 0.7500 0.7500 0.7500
Ti 0.0000 0.0000 0.0000
La 0.5000 0.5000 0.5000
CELL_PARAMETERS angstrom
2.8930 -5.2349 -1.3389
-1.9358 -5.2808 2.4355
-2.7298 -4.1904 -3.5433
```

Summary:
- N(E_F): 9.94 states/eV/f.u.
- Formation energy from the elements: 1.140 eV per atom
- Magnetization: 0.97 μB/atom
- E_tot: -0.192 Ry per atom
- Polymorph energy (0 for the lowest one): 254.1 meV/atom



Copy entry 8 word for word.
This record from Alexandria describes a geometry-optimized K2LaTi structure. The functional is GGA-PBE. Values from VASP.

The structure in Quantum ESPRESSO input format:
```
&SYSTEM
  ibrav = 0, nat = 4, ntyp = 3
/
ATOMIC_SPECIES
K 39.10 K.upf
Ti 47.87 Ti.upf
La 138.91 La.upf
ATOMIC_POSITIONS crystal
K 0.2500 0.2500 0.2500
K 0.7500 0.7500 0.7500
Ti 0.0000 0.0000 0.0000
La 0.5000 0.5000 0.5000
CELL_PARAMETERS angstrom
2.8930 -5.2349 -1.3389
-1.9358 -5.2808 2.4355
-2.7298 -4.1904 -3.5433
```

Summary:
- N(E_F): 9.94 states/eV/f.u.
- Formation energy from the elements: 1.140 eV per atom
- Magnetization: 0.97 μB/atom
- E_tot: -0.192 Ry per atom
- Polymorph energy (0 for the lowest one): 254.1 meV/atom



- What is the magnetization in the sixth record?
  0.78 μB/atom